A geometry-optimized Pr2PN structure. Source: the Alexandria database, functional PBE.

The structure in POSCAR format:
```
Pr2PN
1.0
3.838 0.000 0.000
-1.919 3.324 0.000
0.000 0.000 20.598
Pr P N
6 3 3
Cartesian
0.000 0.000 0.000
0.000 0.000 3.144
0.000 2.216 13.732
0.000 2.216 16.876
1.919 1.108 6.866
1.919 1.108 10.010
0.000 0.000 11.825
0.000 2.216 4.959
1.919 1.108 18.692
0.000 0.000 8.309
0.000 2.216 1.443
1.919 1.108 15.175
```

Fermi-level density of states   0.846 states/eV per cell
VASP energy   -6.8610 eV/atom
Magnetic moment   0.00 μB/cell
Polymorph energy (0 for the lowest one)   246 meV/atom
SG   R3m (160)